(1)
Here is a relaxed structure of PmTa2Os3 from the Alexandria database. Energies are from PBE.

abc: 3.1690 3.1690 10.7676
angles: 90.00 90.00 90.00
Closest atoms and distances in Å follow each position.
Space group P4/mmm (No. 123)
Unique sites:
1 Pm 0.0000 0.0000 0.0000  4 Pm 3.17, 8 Os 3.19
2 Ta 0.0000 0.0000 0.3432  8 Os 2.66-2.81
3 Os 0.5000 0.5000 0.2105  4 Ta 2.66
4 Os 0.5000 0.5000 0.5000  8 Ta 2.81, 2 Os 3.12

Properties
density of states at the Fermi level	2.84	states/eV/cell
V	18.02	Å³ per atom
DFT total energy	-63.649	eV per cell
DFT formation energy	-0.2506	eV/atom



(2)
Here is a relaxed structure of TbPm2Os from the Alexandria database. Energies are from PBE.

abc: 3.5626 3.5626 32.8494
angles: 90.00 90.00 120.00
Closest atoms and distances in Å follow each position.
Space group R-3m (No. 166, hexagonal axes)
Unique sites:
1 Tb 0.0000 0.0000 0.0000  2 Pm 3.49, 6 Tb 3.56
2 Pm 0.0000 0.0000 0.1062  3 Os 2.86
3 Os 0.0000 0.0000 0.5000  6 Pm 2.86

Properties
density of states at the Fermi level	18.46	states/eV/cell
V	30.09	Å³ per atom
ΔE to the lowest computed polymorph	534	meV per atom
DFT total energy	-71.621	eV per cell
DFT formation energy	0.3719	eV/atom



(3)
Here is a relaxed structure of Tb2Pm2Os from the Alexandria database. Energies are from PBE.

abc: 7.4568 12.1109 7.4893
angles: 90.00 116.23 90.00
Closest atoms and distances in Å follow each position.
Space group C2/m (No. 12)
Unique sites:
1 Tb 0.0584 0.2241 0.2561  1 Os 2.71
2 Pm 0.2269 0.5000 0.9002  2 Os 3.13, 1 Pm 3.32
3 Pm 0.2413 0.0000 0.5924  2 Os 2.80
4 Os 0.0000 0.3704 0.5000  2 Tb 2.71, 2 Pm 2.80

Properties
density of states at the Fermi level	22.24	states/eV/cell
V	30.33	Å³ per atom
DFT total energy	-121.227	eV per cell
DFT formation energy	-0.0631	eV/atom



(4)
Here is a relaxed structure of TbPm2Os from the Alexandria database. Energies are from PBE.

abc: 7.4540 9.4272 6.4458
angles: 90.00 90.00 90.00
Closest atoms and distances in Å follow each position.
Space group Pnma (No. 62)
Unique sites:
1 Tb 0.0424 0.2500 0.1386  2 Os 2.79-2.84
2 Pm 0.1754 0.0644 0.6704  2 Os 2.91-3.00
3 Os 0.1156 0.7500 0.4613  2 Tb 2.79-2.84, 4 Pm 2.91-3.00

Properties
density of states at the Fermi level	13.71	states/eV/cell
V	28.31	Å³ per atom
ΔE to the lowest computed polymorph	0	meV per atom
DFT total energy	-104.032	eV per cell
DFT formation energy	-0.1617	eV/atom



(5)
Here is a relaxed structure of TbPm3Os from the Alexandria database. Energies are from PBE.

abc: 11.9831 8.7543 8.3030
angles: 90.00 133.51 90.00
Closest atoms and distances in Å follow each position.
Space group C2/m (No. 12)
Unique sites:
1 Tb 0.0524 0.0000 0.2501  1 Os 2.71
2 Pm 0.0528 0.5000 0.3478  1 Os 2.74
3 Pm 0.2478 0.1956 0.7937  1 Os 2.73
4 Os 0.2486 0.0000 0.1321  1 Tb 2.71, 3 Pm 2.73-2.74

Properties
density of states at the Fermi level	19.89	states/eV/cell
V	31.58	Å³ per atom
ΔE to the lowest computed polymorph	0	meV per atom
DFT total energy	-122.552	eV per cell
DFT formation energy	-0.1052	eV/atom



(6)
Here is a relaxed structure of TbPm3Os from the Alexandria database. Energies are from PBE.

abc: 9.4650 7.4974 8.9110
angles: 90.00 90.00 90.00
Closest atoms and distances in Å follow each position.
Space group Ima2 (No. 46)
Unique sites:
1 Tb 0.2500 0.0272 0.0000  2 Os 2.78-2.79
2 Pm 0.0409 0.7502 0.2503  1 Os 2.75
3 Pm 0.2500 0.0205 0.5006  2 Os 2.81-2.82
4 Os 0.2500 0.2493 0.2503  4 Pm 2.75-2.82, 2 Tb 2.78-2.79

Properties
density of states at the Fermi level	22.84	states/eV/cell
V	31.62	Å³ per atom
ΔE to the lowest computed polymorph	59	meV per atom
DFT total energy	-121.362	eV per cell
DFT formation energy	-0.0457	eV/atom



(7)
Here is a relaxed structure of TbPm2Os from the Alexandria database. Energies are from PBE.

abc: 4.0676 12.0629 9.2228
angles: 90.00 90.00 90.00
Closest atoms and distances in Å follow each position.
Space group Cmcm (No. 63)
Unique sites:
1 Tb 0.0000 0.0789 0.2500  2 Os 2.82
2 Pm 0.0000 0.3573 0.0674  3 Os 2.99-3.16
3 Os 0.0000 0.2597 0.7500  2 Tb 2.82, 4 Pm 2.99

Properties
density of states at the Fermi level	12.60	states/eV/cell
V	28.28	Å³ per atom
ΔE to the lowest computed polymorph	17	meV per atom
DFT total energy	-103.753	eV per cell
DFT formation energy	-0.1443	eV/atom



(8)
Here is a relaxed structure of TbPm2Os from the Alexandria database. Energies are from PBE.

abc: 3.4619 3.4619 9.5698
angles: 90.00 90.00 90.00
Closest atoms and distances in Å follow each position.
Space group P4/mmm (No. 123)
Unique sites:
1 Tb 0.0000 0.0000 0.0000  4 Tb 3.46
2 Pm 0.5000 0.5000 0.3198  4 Os 2.99
3 Os 0.0000 0.0000 0.5000  8 Pm 2.99

Properties
density of states at the Fermi level	3.78	states/eV/cell
V	28.67	Å³ per atom
ΔE to the lowest computed polymorph	207	meV per atom
DFT total energy	-25.180	eV per cell
DFT formation energy	0.0454	eV/atom



(9)
Here is a relaxed structure of TbPmTlOs from the Alexandria database. Energies are from PBE.

abc: 7.2742 7.2742 7.2742
angles: 90.00 90.00 90.00
Closest atoms and distances in Å follow each position.
Space group F-43m (No. 216)
Unique sites:
1 Tb 0.0000 0.0000 0.0000  4 Tl 3.15, 4 Os 3.15
2 Pm 0.0000 0.0000 0.5000  4 Tl 3.15, 4 Os 3.15
3 Tl 0.2500 0.2500 0.2500  4 Pm 3.15, 4 Tb 3.15
4 Os 0.2500 0.2500 0.7500  4 Tb 3.15, 4 Pm 3.15

Properties
density of states at the Fermi level	11.57	states/eV/cell
V	24.06	Å³ per atom
DFT total energy	-93.360	eV per cell
DFT formation energy	-0.0908	eV/atom



(10)
Here is a relaxed structure of TbPmZnOs from the Alexandria database. Energies are from PBE.

abc: 7.0524 7.0524 7.0524
angles: 90.00 90.00 90.00
Closest atoms and distances in Å follow each position.
Space group F-43m (No. 216)
Unique sites:
1 Tb 0.0000 0.0000 0.0000  4 Zn 3.05, 4 Os 3.05
2 Pm 0.0000 0.0000 0.5000  4 Os 3.05, 4 Zn 3.05
3 Zn 0.2500 0.2500 0.7500  4 Tb 3.05, 4 Pm 3.05
4 Os 0.2500 0.2500 0.2500  4 Tb 3.05, 4 Pm 3.05

Properties
density of states at the Fermi level	15.37	states/eV/cell
V	21.92	Å³ per atom
DFT total energy	-90.660	eV per cell
DFT formation energy	-0.1951	eV/atom



(11)
Here is a relaxed structure of PmTc2Os from the Alexandria database. Energies are from PBE.

abc: 6.6214 4.4486 9.9723
angles: 90.00 90.00 90.00
Closest atoms and distances in Å follow each position.
Space group Pnma (No. 62)
Unique sites:
1 Pm 0.2358 0.2500 0.1738  7 Tc 2.91-3.12, 3 Os 2.97-3.06
2 Tc 0.0466 0.7500 0.3543  3 Tc 2.42-2.67, 2 Os 2.63
3 Tc 0.1973 0.2500 0.4645  3 Tc 2.42-2.67
4 Os 0.0624 0.2500 0.8993  5 Tc 2.63-2.81

Properties
density of states at the Fermi level	14.61	states/eV/cell
V	18.36	Å³ per atom
DFT total energy	-145.123	eV per cell
DFT formation energy	0.1079	eV/atom



(12)
Here is a relaxed structure of PmTcOs from the Alexandria database. Energies are from PBE.

abc: 4.6455 4.6568 6.1760
angles: 90.00 90.00 90.00
Closest atoms and distances in Å follow each position.
Space group Pmmn (No. 59, origin choice 2)
Unique sites:
1 Pm 0.2500 0.2500 0.9997  2 Os 3.09, 4 Tc 3.14, 4 Pm 3.29
2 Tc 0.2500 0.7500 0.3417  4 Os 2.52
3 Os 0.2500 0.2500 0.4995  4 Tc 2.52

Properties
density of states at the Fermi level	5.07	states/eV/cell
V	22.27	Å³ per atom
ΔE to the lowest computed polymorph	574	meV per atom
DFT total energy	-49.824	eV per cell
DFT formation energy	0.4781	eV/atom



(13)
Here is a relaxed structure of PmTcOs from the Alexandria database. Energies are from PBE.

abc: 8.9488 5.3513 9.5194
angles: 90.00 90.00 90.00
Closest atoms and distances in Å follow each position.
Space group Amm2 (No. 38)
Unique sites:
1 Pm 0.1824 0.0000 0.0000  7 Os 3.13-3.21, 5 Tc 3.14-3.26, 4 Pm 3.27-3.37
2 Pm 0.3145 0.0000 0.6679  5 Os 3.15-3.23, 7 Tc 3.18-3.21, 4 Pm 3.32-3.37
3 Tc 0.2457 0.0000 0.3373  4 Os 2.70-2.85, 2 Tc 2.75
4 Tc 0.5000 0.2505 0.4162  2 Os 2.65-2.81, 4 Tc 2.67-2.75
5 Os 0.0000 0.0000 0.5024  4 Os 2.66-2.80, 2 Tc 2.70
6 Os 0.0000 0.2429 0.7461  4 Os 2.60-2.80, 2 Tc 2.74
7 Os 0.5000 0.0000 0.1569  6 Tc 2.65-2.85

Properties
density of states at the Fermi level	26.32	states/eV/cell
V	18.99	Å³ per atom
ΔE to the lowest computed polymorph	0	meV per atom
DFT total energy	-213.063	eV per cell
DFT formation energy	-0.0955	eV/atom



(14)
Here is a relaxed structure of Pm2Tc3Os2 from the Alexandria database. Energies are from PBE.

abc: 10.9098 4.1633 7.2732
angles: 90.00 118.32 90.00
Closest atoms and distances in Å follow each position.
Space group C2/m (No. 12)
Unique sites:
1 Pm 0.1345 0.0000 0.2677  4 Os 3.01-3.22, 1 Tc 3.15
2 Tc 0.0000 0.5000 0.5000  4 Os 2.56, 2 Tc 2.70
3 Tc 0.1579 0.5000 0.9203  3 Os 2.54-2.60, 3 Tc 2.70-2.74
4 Os 0.1318 0.0000 0.7039  5 Tc 2.54-2.60

Properties
density of states at the Fermi level	10.73	states/eV/cell
V	20.77	Å³ per atom
DFT total energy	-124.601	eV per cell
DFT formation energy	0.1083	eV/atom



(15)
Here is a relaxed structure of PmTcOs from the Alexandria database. Energies are from PBE.

abc: 5.1902 5.6849 7.7427
angles: 90.00 90.00 90.00
Closest atoms and distances in Å follow each position.
Space group Imma (No. 74)
Unique sites:
1 Pm 0.0000 0.2500 0.1245  6 Os 3.11-3.24, 6 Tc 3.18-3.27, 4 Pm 3.24-3.43
2 Tc 0.2500 0.2500 0.7500  2 Tc 2.60, 4 Os 2.73
3 Os 0.0000 0.0000 0.5000  4 Tc 2.73, 2 Os 2.84

Properties
density of states at the Fermi level	14.60	states/eV/cell
V	19.04	Å³ per atom
ΔE to the lowest computed polymorph	21	meV per atom
DFT total energy	-106.274	eV per cell
DFT formation energy	-0.0741	eV/atom



(16)
Here is a relaxed structure of Pm2Tc3Os from the Alexandria database. Energies are from PBE.

abc: 9.1886 5.3186 5.6225
angles: 90.00 123.16 90.00
Closest atoms and distances in Å follow each position.
Space group C2/m (No. 12)
Unique sites:
1 Pm 0.1260 0.0000 0.3781  3 Os 3.12, 9 Tc 3.19-3.31, 3 Pm 3.27-3.28
2 Tc 0.0000 0.5000 0.0000  4 Tc 2.65, 2 Os 2.81
3 Tc 0.2500 0.2500 0.0000  4 Tc 2.65-2.66, 2 Os 2.81
4 Os 0.0000 0.5000 0.5000  6 Tc 2.81, 6 Pm 3.12

Properties
density of states at the Fermi level	13.07	states/eV/cell
V	19.17	Å³ per atom
DFT total energy	-104.140	eV per cell
DFT formation energy	-0.0402	eV/atom



(17)
Here is a relaxed structure of PmUTcOs from the Alexandria database. Energies are from PBE.

abc: 6.8774 6.8774 6.8774
angles: 90.00 90.00 90.00
Closest atoms and distances in Å follow each position.
Space group F-43m (No. 216)
Unique sites:
1 Pm 0.0000 0.0000 0.0000  4 Tc 2.98, 4 Os 2.98
2 U 0.0000 0.0000 0.5000  4 Tc 2.98, 4 Os 2.98
3 Tc 0.2500 0.2500 0.7500  4 U 2.98, 4 Pm 2.98
4 Os 0.2500 0.2500 0.2500  4 U 2.98, 4 Pm 2.98

Properties
density of states at the Fermi level	36.88	states/eV/cell
V	20.33	Å³ per atom
DFT total energy	-148.058	eV per cell
DFT formation energy	0.1550	eV/atom



(18)
Here is a relaxed structure of Pm4TeOs from the Alexandria database. Energies are from PBE.

abc: 9.3105 13.8825 6.4162
angles: 90.00 118.58 90.00
Closest atoms and distances in Å follow each position.
Space group C2/c (No. 15)
Unique sites:
1 Pm 0.1138 0.1747 0.0843  2 Os 3.04-3.07, 2 Te 3.29-3.32
2 Pm 0.2251 0.4358 0.3132  2 Os 2.89-2.92
3 Te 0.0000 0.3712 0.7500  8 Pm 3.29-3.32
4 Os 0.0000 0.0000 0.2500  8 Pm 2.89-3.07, 2 Os 3.21

Properties
density of states at the Fermi level	24.80	states/eV/cell
V	30.34	Å³ per atom
DFT total energy	-145.973	eV per cell
ΔE_f (raw)	-50.2	kJ per mole of atoms



(19)
Here is a relaxed structure of Pm3TeOs from the Alexandria database. Energies are from PBE.

abc: 7.9435 4.3643 16.8916
angles: 90.00 90.00 90.00
Closest atoms and distances in Å follow each position.
Space group Pnma (No. 62)
Unique sites:
1 Pm 0.0128 0.2500 0.0899  3 Os 2.93-3.02
2 Pm 0.1374 0.7500 0.4501  3 Os 2.87-3.16
3 Pm 0.1756 0.2500 0.7022  1 Os 2.76
4 Te 0.1225 0.2500 0.2968  6 Pm 3.14-3.39
5 Os 0.2395 0.7500 0.0440  6 Pm 2.76-3.02

Properties
density of states at the Fermi level	15.24	states/eV/cell
V	29.28	Å³ per atom
DFT total energy	-126.836	eV per cell
ΔE_f (raw)	-59.5	kJ per mole of atoms



(20)
Here is a relaxed structure of PmThTeOs from the Alexandria database. Energies are from PBE.

abc: 4.2194 4.2194 22.5429
angles: 90.00 90.00 120.00
Closest atoms and distances in Å follow each position.
Space group R3m (No. 160, hexagonal axes)
Unique sites:
1 Pm 0.0000 0.0000 0.0000  3 Os 2.93, 3 Te 3.27
2 Th 0.0000 0.0000 0.8017  3 Os 2.81
3 Te 0.0000 0.0000 0.2363  3 Pm 3.27, 3 Th 3.34
4 Os 0.0000 0.0000 0.4059  3 Th 2.81, 3 Pm 2.93

Properties
density of states at the Fermi level	8.98	states/eV/cell
V	28.96	Å³ per atom
DFT total energy	-87.920	eV per cell
ΔE_f (raw)	-66.7	kJ per mole of atoms



(21)
Here is a relaxed structure of Pm2ThOs from the Alexandria database. Energies are from PBE.

abc: 7.3527 9.8120 6.5347
angles: 90.00 90.00 90.00
Closest atoms and distances in Å follow each position.
Space group Pnma (No. 62)
Unique sites:
1 Pm 0.1738 0.0669 0.1713  2 Os 3.00-3.03
2 Th 0.0492 0.2500 0.6604  2 Os 2.68-2.75
3 Os 0.1281 0.7500 0.9696  2 Th 2.68-2.75, 2 Pm 3.00

Properties
density of states at the Fermi level	18.89	states/eV/cell
V	29.47	Å³ per atom
ΔE to the lowest computed polymorph	0	meV per atom
DFT total energy	-115.682	eV per cell
DFT formation energy	-0.1924	eV/atom



(22)
Here is a relaxed structure of Pm3ThOs from the Alexandria database. Energies are from PBE.

abc: 11.8766 8.9780 8.2492
angles: 90.00 133.19 90.00
Closest atoms and distances in Å follow each position.
Space group C2/m (No. 12)
Unique sites:
1 Pm 0.0477 0.0000 0.3377  1 Os 2.81
2 Pm 0.2466 0.3038 0.7884  1 Os 2.78
3 Th 0.0519 0.5000 0.2573  1 Os 2.65
4 Os 0.2374 0.5000 0.1319  1 Th 2.65, 3 Pm 2.78-2.81

Properties
density of states at the Fermi level	24.85	states/eV/cell
V	32.07	Å³ per atom
DFT total energy	-133.458	eV per cell
DFT formation energy	-0.0926	eV/atom



(23)
Here is a relaxed structure of Pm3ThOs8 from the Alexandria database. Energies are from PBE.

abc: 5.4333 5.4333 26.6490
angles: 90.00 90.00 120.00
Closest atoms and distances in Å follow each position.
Space group R3m (No. 160, hexagonal axes)
Unique sites:
1 Pm 0.0000 0.0000 0.0000  12 Os 3.18-3.19, 4 Pm 3.31-3.32
2 Pm 0.0000 0.0000 0.1243  12 Os 3.18-3.22, 1 Pm 3.31, 3 Th 3.33
3 Pm 0.0000 0.0000 0.6258  12 Os 3.16-3.19, 3 Pm 3.32, 1 Th 3.36
4 Th 0.0000 0.0000 0.4998  12 Os 3.18-3.20, 4 Pm 3.33-3.36
5 Os 0.0000 0.0000 0.3144  6 Os 2.69-2.74
6 Os 0.0000 0.0000 0.8139  6 Os 2.71-2.74
7 Os 0.1677 0.3354 0.8966  6 Os 2.70-2.74
8 Os 0.1686 0.3372 0.3958  6 Os 2.68-2.75

Properties
density of states at the Fermi level	39.71	states/eV/cell
V	18.92	Å³ per atom
DFT total energy	-340.200	eV per cell
DFT formation energy	-0.1575	eV/atom



(24)
Here is a relaxed structure of PmTh2Os from the Alexandria database. Energies are from PBE.

abc: 3.6488 3.6488 8.4287
angles: 90.00 90.00 90.00
Closest atoms and distances in Å follow each position.
Space group P4/mmm (No. 123)
Unique sites:
1 Pm 0.0000 0.0000 0.0000  8 Th 3.64, 4 Pm 3.65
2 Th 0.5000 0.5000 0.3044  4 Os 3.06, 1 Th 3.30
3 Os 0.0000 0.0000 0.5000  8 Th 3.06

Properties
density of states at the Fermi level	8.04	states/eV/cell
V	28.05	Å³ per atom
ΔE to the lowest computed polymorph	208	meV per atom
DFT total energy	-30.825	eV per cell
DFT formation energy	-0.0013	eV/atom